a) Below is a geometry-optimized TaInI2N structure, with properties calculated at the PBE level.

Calculated values
Fermi-level density of states in states/eV/cell: 6.8
SG: P4/mmm (123)
M_tot in μB/cell: 1.33

Lattice parameters (Å, degrees): 5.9449 5.9449 4.0087 90.00 90.00 90.00
With the nearest neighbours (Å) after each atom.
Element x y z (fractional)
I 0.0000 0.5000 0.0000  2 In 2.97
I 0.5000 0.0000 0.0000  2 In 2.97
N 0.0000 0.0000 0.5000  2 In 2.00
In 0.0000 0.0000 0.0000  2 N 2.00
Ta 0.5000 0.5000 0.5000  8 I 3.59, 2 Ta 4.01

b) Below is a geometry-optimized TaInI2N structure, with properties calculated at the PBE level.

Calculated values
Fermi-level density of states in states/eV/cell: 2.6
SG: P4/mmm (123)
M_tot in μB/cell: 0.93

Lattice parameters (Å, degrees): 5.9049 5.9049 3.9665 90.00 90.00 90.00
With the nearest neighbours (Å) after each atom.
Element x y z (fractional)
I 0.0000 0.5000 0.0000  2 Ta 2.95
I 0.5000 0.0000 0.0000  2 Ta 2.95
N 0.0000 0.0000 0.5000  2 Ta 1.98
In 0.5000 0.5000 0.5000  8 I 3.56, 2 In 3.97
Ta 0.0000 0.0000 0.0000  2 N 1.98

Which structure is the most stable? The one labeled b).

a) Below is a geometry-optimized InTcI2N structure, with properties calculated at the PBE level.

Calculated values
Fermi-level density of states in states/eV/cell: 4.2
SG: P4/mmm (123)
M_tot in μB/cell: 0.00

Lattice parameters (Å, degrees): 5.7375 5.7375 3.7786 90.00 90.00 90.00
With the nearest neighbours (Å) after each atom.
Element x y z (fractional)
I 0.0000 0.5000 0.0000  2 Tc 2.87
I 0.5000 0.0000 0.0000  2 Tc 2.87
N 0.0000 0.0000 0.5000  2 Tc 1.89
Tc 0.0000 0.0000 0.0000  2 N 1.89
In 0.5000 0.5000 0.5000  8 I 3.43, 2 In 3.78

b) Below is a geometry-optimized InTcI2N structure, with properties calculated at the PBE level.

Calculated values
Fermi-level density of states in states/eV/cell: 7.8
SG: P4/mmm (123)
M_tot in μB/cell: 4.46

Lattice parameters (Å, degrees): 6.0905 6.0905 3.9773 90.00 90.00 90.00
With the nearest neighbours (Å) after each atom.
Element x y z (fractional)
I 0.0000 0.5000 0.0000  2 In 3.05
I 0.5000 0.0000 0.0000  2 In 3.05
N 0.0000 0.0000 0.5000  2 In 1.99
Tc 0.5000 0.5000 0.5000  8 I 3.64, 2 Tc 3.98
In 0.0000 0.0000 0.0000  2 N 1.99

Which structure is the most stable? The one labeled a).

a) Below is a geometry-optimized InTe2IN structure, with properties calculated at the PBE level.

Calculated values
Fermi-level density of states in states/eV/cell: 5.3
SG: P4/mmm (123)
M_tot in μB/cell: 4.72

Lattice parameters (Å, degrees): 5.7858 5.7858 6.1084 90.00 90.00 90.00
With the nearest neighbours (Å) after each atom.
Element x y z (fractional)
I 0.0000 0.0000 0.5000  2 In 3.05
N 0.5000 0.5000 0.5000  4 I 4.09, 8 Te 4.21
Te 0.0000 0.5000 0.0000  2 In 2.89
Te 0.5000 0.0000 0.0000  2 In 2.89
In 0.0000 0.0000 0.0000  4 Te 2.89, 2 I 3.05

b) Below is a geometry-optimized InTe2IN structure, with properties calculated at the PBE level.

Calculated values
Fermi-level density of states in states/eV/cell: 3.9
SG: P4/mmm (123)
M_tot in μB/cell: 0.00

Lattice parameters (Å, degrees): 6.2751 6.2751 3.9381 90.00 90.00 90.00
With the nearest neighbours (Å) after each atom.
Element x y z (fractional)
I 0.0000 0.0000 0.0000  2 N 1.97
N 0.0000 0.0000 0.5000  2 I 1.97
Te 0.0000 0.5000 0.0000  2 I 3.14
Te 0.5000 0.0000 0.0000  2 I 3.14
In 0.5000 0.5000 0.5000  8 Te 3.70, 2 In 3.94

c) Below is a geometry-optimized InTe2IN structure, with properties calculated at the PBE level.

Calculated values
Fermi-level density of states in states/eV/cell: 6.4
SG: P4/mmm (123)
M_tot in μB/cell: 0.00

Lattice parameters (Å, degrees): 6.0643 6.0643 4.0303 90.00 90.00 90.00
With the nearest neighbours (Å) after each atom.
Element x y z (fractional)
I 0.5000 0.5000 0.5000  8 Te 3.64, 2 I 4.03
N 0.0000 0.0000 0.5000  2 In 2.02
Te 0.0000 0.5000 0.0000  2 In 3.03
Te 0.5000 0.0000 0.0000  2 In 3.03
In 0.0000 0.0000 0.0000  2 N 2.02

Which structure is the most stable? The one labeled c).

a) Below is a geometry-optimized TlInI2N structure, with properties calculated at the PBE level.

Calculated values
Fermi-level density of states in states/eV/cell: 1.9
SG: P4/mmm (123)
M_tot in μB/cell: 1.69

Lattice parameters (Å, degrees): 6.3143 6.3143 4.5894 90.00 90.00 90.00
With the nearest neighbours (Å) after each atom.
Element x y z (fractional)
I 0.0000 0.5000 0.0000  2 Tl 3.16
I 0.5000 0.0000 0.0000  2 Tl 3.16
Tl 0.0000 0.0000 0.0000  2 N 2.29
N 0.0000 0.0000 0.5000  2 Tl 2.29
In 0.5000 0.5000 0.5000  8 I 3.90

b) Below is a geometry-optimized TlInI2N structure, with properties calculated at the PBE level.

Calculated values
Fermi-level density of states in states/eV/cell: 3.0
SG: P4/mmm (123)
M_tot in μB/cell: 1.06

Lattice parameters (Å, degrees): 6.2294 6.2294 4.1592 90.00 90.00 90.00
With the nearest neighbours (Å) after each atom.
Element x y z (fractional)
I 0.0000 0.5000 0.0000  2 In 3.11
I 0.5000 0.0000 0.0000  2 In 3.11
Tl 0.5000 0.5000 0.5000  8 I 3.75, 2 Tl 4.16
N 0.0000 0.0000 0.5000  2 In 2.08
In 0.0000 0.0000 0.0000  2 N 2.08

Which structure is the most stable? The one labeled b).